Computed, not measured: a relaxed structure of CoReAgF2 at the PBE+U level of DFT.

Theoretical density = 7.55 g cm⁻³
D(E_F) = 5.0 states/eV/cell
E_tot = -4.542 eV/atom
Calculated volume = 86.0 Å³ per cell

Unit cell a=3.9507 b=5.5088 c=3.9507 alpha=90.00 beta=90.00 gamma=90.00
Element x y z (fractional)
Re: 0.0000 0.0000 0.0000
Co: 0.5000 0.5000 0.5000
Ag: 0.0000 0.5000 0.0000
F: 0.0000 0.0000 0.5000
F: 0.5000 0.0000 0.0000